Compound: ZrCoGePt2
Source: Alexandria via LeMat-Bulk
Functional: PBE-GGA
Structure: optimized geometry

The space group is P4/mmm (No. 123) and the conventional cell measures 4.660, 4.660 and 4.266 Å, with angles of 90.00, 90.00 and 90.00 degrees. Symmetry generates all atoms from Zr at (0.000, 0.000, 0.000), Co at (0.500, 0.500, 0.500), Ge at (0.500, 0.500, 0.000) and Pt at (0.000, 0.500, 0.500).

The value obtained for the density of states at the Fermi level is 5.899 states/eV/f.u. For the formation energy, the calculation gives 86 kJ/mol of formula units. The value obtained for the raw total energy is -0.231 hartree per atom.